Density functional theory data (PBE) for a geometry-optimized Sr2Cd3Pb2 structure.

## Properties
For the mass density, the calculation gives 7.181 g cm⁻³. The value obtained for the size of the total moment is 0.000 μB per atom. The calculation puts the formation enthalpy at 0 K at -228.8 kJ/mol of formula units. As for the calculated volume: 30.62 A^3/atom. Its symmetry is No. 12.

Lattice parameters (Å, degrees): 5.065 6.538 7.476 108.47 90.00 112.79
Element x y z (fractional)
Sr1 0.854 0.709 0.241
Sr2 0.146 0.291 0.759
Cd1 0.500 0.000 0.000
Cd2 0.592 0.185 0.424
Cd3 0.408 0.815 0.576
Pb1 0.846 0.691 0.756
Pb2 0.154 0.309 0.244

***

Density functional theory data (PBE) for a geometry-optimized CrAuS structure.

## Properties
For the mass density, the calculation gives 8.950 g cm⁻³. The value obtained for the size of the total moment is 1.230 μB per atom. As for the calculated volume: 17.38 A^3/atom. Its symmetry is No. 129. For the formation energy (no corrections), the calculation gives -169 meV/atom.

Lattice parameters (Å, degrees): 3.306 3.306 9.541 90.00 90.00 90.00
Last column: magnetic moment on the atom in μB.
Element x y z (fractional)
S1 0.000 0.500 0.645  -0.09
S2 0.500 0.000 0.355  -0.09
Cr1 0.500 0.000 0.725  3.39
Cr2 0.000 0.500 0.275  3.39
Au1 0.000 0.500 0.916  0.06
Au2 0.500 0.000 0.084  0.06

***

Density functional theory data (PBE) for a geometry-optimized La2TiF2 structure.

## Properties
For the mass density, the calculation gives 6.405 g cm⁻³. The value obtained for the size of the total moment is 0.000 μB per atom. As for the calculated volume: 18.86 A^3/atom. Its symmetry is No. 127. For the formation energy (no corrections), the calculation gives -1415 meV/atom.

Lattice parameters (Å, degrees): 7.821 7.821 3.083 90.00 90.00 90.00
Element x y z (fractional)
F1 0.111 0.611 0.500
F2 0.611 0.889 0.500
F3 0.889 0.389 0.500
F4 0.389 0.111 0.500
Ti1 0.000 0.000 0.000
Ti2 0.500 0.500 0.000
La1 0.306 0.806 0.000
La2 0.806 0.694 0.000
La3 0.694 0.194 0.000
La4 0.194 0.306 0.000

***

Density functional theory data (PBE) for a geometry-optimized Hf2SnPb2 structure.

## Properties
For the mass density, the calculation gives 11.355 g cm⁻³. The value obtained for the size of the total moment is 0.000 μB per atom. The calculation puts the formation enthalpy at 0 K at 108.8 kJ/mol of formula units. As for the calculated volume: 26.03 A^3/atom. Its symmetry is No. 127.

Lattice parameters (Å, degrees): 8.954 8.954 3.247 90.00 90.00 90.00
Element x y z (fractional)
Pb1 0.331 0.831 0.000
Pb2 0.831 0.669 0.000
Pb3 0.669 0.169 0.000
Pb4 0.169 0.331 0.000
Hf1 0.125 0.625 0.500
Hf2 0.625 0.875 0.500
Hf3 0.875 0.375 0.500
Hf4 0.375 0.125 0.500
Sn1 0.000 0.000 0.000
Sn2 0.500 0.500 0.000

***

Density functional theory data (PBE) for a geometry-optimized LiV2Co structure.

## Properties
For the mass density, the calculation gives 5.247 g cm⁻³. The value obtained for the size of the total moment is 0.000 μB per atom. The calculation puts the formation enthalpy at 0 K at 186.0 kJ/mol of formula units. As for the calculated volume: 13.27 A^3/atom. Its symmetry is No. 122.

Lattice parameters (Å, degrees): 6.584 6.584 5.261 51.26 51.26 90.00
Element x y z (fractional)
V1 0.660 0.125 0.250
V2 0.090 0.625 0.250
V3 0.375 0.340 0.750
V4 0.875 0.910 0.750
Co1 0.000 0.000 0.000
Co2 0.750 0.250 0.500
Li1 0.500 0.500 0.000
Li2 0.250 0.750 0.500

***

Density functional theory data (PBE) for a geometry-optimized MgZn3Ga4 structure.

## Properties
For the mass density, the calculation gives 5.900 g cm⁻³. The value obtained for the size of the total moment is 0.000 μB per atom. The calculation puts the formation enthalpy at 0 K at 1.8 kJ/mol of formula units. As for the calculated volume: 17.57 A^3/atom. Its symmetry is No. 51.

Lattice parameters (Å, degrees): 5.309 5.858 9.039 90.00 90.00 90.00
Element x y z (fractional)
Mg1 0.000 0.500 0.000
Mg2 0.000 0.500 0.500
Zn1 0.000 0.000 0.000
Zn2 0.000 0.000 0.500
Zn3 0.670 0.000 0.750
Zn4 0.330 0.000 0.250
Zn5 0.655 0.500 0.750
Zn6 0.345 0.500 0.250
Ga1 0.500 0.751 0.000
Ga2 0.500 0.751 0.500
Ga3 0.500 0.249 0.000
Ga4 0.500 0.249 0.500
Ga5 0.158 0.759 0.750
Ga6 0.842 0.759 0.250
Ga7 0.842 0.241 0.250
Ga8 0.158 0.241 0.750

***

Density functional theory data (PBE) for a geometry-optimized LaReMo2 structure.

## Properties
For the mass density, the calculation gives 11.963 g cm⁻³. The value obtained for the size of the total moment is 0.000 μB per atom. The calculation puts the formation enthalpy at 0 K at 170.6 kJ/mol of formula units. As for the calculated volume: 17.94 A^3/atom. Its symmetry is No. 225.

Lattice parameters (Å, degrees): 4.664 4.664 4.664 60.00 60.00 60.00
Element x y z (fractional)
Re1 0.500 0.500 0.500
Mo1 0.250 0.250 0.250
Mo2 0.750 0.750 0.750
La1 0.000 0.000 0.000

***

Density functional theory data (PBE) for a geometry-optimized Ho4HC2N structure.

## Properties
For the mass density, the calculation gives 9.274 g cm⁻³. The value obtained for the size of the total moment is 0.000 μB per atom. The value obtained for the total energy is -54.20 eV per cell. As for the calculated volume: 15.64 A^3/atom. Its symmetry is No. 10.

Lattice parameters (Å, degrees): 3.541 6.167 6.072 109.33 90.00 90.00
Element x y z (fractional)
Ho1 0.500 0.240 0.256
Ho2 0.500 0.760 0.744
Ho3 0.000 0.231 0.733
Ho4 0.000 0.769 0.267
H1 0.500 0.500 0.000
C1 0.500 0.000 0.500
C2 0.000 0.500 0.500
N1 0.000 0.000 0.000

***

Density functional theory data (PBE) for a geometry-optimized Er3Zn3Cu8 structure.

## Properties
For the mass density, the calculation gives 8.845 g cm⁻³. The value obtained for the size of the total moment is 0.000 μB per atom. The calculation puts the formation enthalpy at 0 K at -329.5 kJ/mol of formula units. As for the calculated volume: 16.18 A^3/atom. Its symmetry is No. 71.

Lattice parameters (Å, degrees): 4.201 7.834 7.834 68.21 74.45 74.45
Element x y z (fractional)
Er1 0.500 0.500 0.500
Er2 0.798 0.202 0.202
Er3 0.202 0.798 0.798
Zn1 0.500 0.000 0.000
Zn2 0.000 0.792 0.208
Zn3 0.000 0.208 0.792
Cu1 0.629 0.090 0.652
Cu2 0.371 0.910 0.348
Cu3 0.629 0.652 0.090
Cu4 0.371 0.348 0.910
Cu5 0.829 0.812 0.530
Cu6 0.171 0.188 0.470
Cu7 0.829 0.530 0.812
Cu8 0.171 0.470 0.188

***

Density functional theory data (PBE) for a geometry-optimized DyIn2Pt2 structure.

## Properties
For the mass density, the calculation gives 11.913 g cm⁻³. The value obtained for the size of the total moment is 0.000 μB per atom. The calculation puts the formation enthalpy at 0 K at -372.7 kJ/mol of formula units. As for the calculated volume: 21.81 A^3/atom. Its symmetry is No. 11.

Lattice parameters (Å, degrees): 4.677 5.378 9.046 106.57 90.00 90.00
Element x y z (fractional)
Dy1 0.250 0.819 0.233
Dy2 0.750 0.181 0.767
In1 0.250 0.788 0.874
In2 0.750 0.212 0.126
In3 0.250 0.365 0.546
In4 0.750 0.635 0.454
Pt1 0.250 0.892 0.592
Pt2 0.750 0.108 0.408
Pt3 0.250 0.332 0.978
Pt4 0.750 0.668 0.022

***

Density functional theory data (PBE) for a geometry-optimized NaNd2Ge structure.

## Properties
For the mass density, the calculation gives 5.909 g cm⁻³. The value obtained for the size of the total moment is 0.000 μB per atom. The calculation puts the formation enthalpy at 0 K at -94.9 kJ/mol of formula units. As for the calculated volume: 26.98 A^3/atom. Its symmetry is No. 123.

Lattice parameters (Å, degrees): 4.302 5.009 5.009 90.00 90.00 90.00
Element x y z (fractional)
Na1 0.500 0.000 0.000
Ge1 0.500 0.500 0.500
Nd1 0.000 0.000 0.500
Nd2 0.000 0.500 0.000

***

Density functional theory data (PBE) for a geometry-optimized Pm3Si2Pd6 structure.

## Properties
For the mass density, the calculation gives 8.831 g cm⁻³. The value obtained for the size of the total moment is 0.000 μB per atom. As for the calculated volume: 19.31 A^3/atom. Its symmetry is No. 229. For the formation energy (no corrections), the calculation gives -830 meV/atom.

Lattice parameters (Å, degrees): 8.203 8.203 8.203 109.47 109.47 109.47
Element x y z (fractional)
Pm1 0.714 0.000 0.714
Pm2 0.286 0.000 0.286
Pm3 0.000 0.286 0.286
Pm4 0.000 0.714 0.714
Pm5 0.286 0.286 0.000
Pm6 0.714 0.714 0.000
Si1 0.000 0.500 0.000
Si2 0.500 0.000 0.000
Si3 0.000 0.000 0.500
Si4 0.500 0.500 0.500
Pd1 0.676 0.353 0.676
Pd2 0.676 0.000 0.324
Pd3 0.324 0.000 0.676
Pd4 0.324 0.647 0.324
Pd5 0.000 0.676 0.324
Pd6 0.647 0.324 0.324
Pd7 0.353 0.676 0.676
Pd8 0.000 0.324 0.676
Pd9 0.324 0.676 0.000
Pd10 0.676 0.676 0.353
Pd11 0.324 0.324 0.647
Pd12 0.676 0.324 0.000